Compound: ErNbAg
Source: the Open Quantum Materials Database
Functional: PBE-GGA
Structure: optimized geometry

Results
formation enthalpy at 0 K = 22.513 kcal/mol of atoms
calculated density = 8.3 g/cm3
polymorph energy (0 for the lowest one) = 0 meV/atom

Cell and atoms, written as CIF:
```
data_ErNbAg
_cell_length_a 6.645
_cell_length_b 6.645
_cell_length_c 6.645
_cell_angle_alpha 90.00
_cell_angle_beta 90.00
_cell_angle_gamma 90.00
_symmetry_space_group_name_H-M 'F -4 3 m'
_symmetry_Int_Tables_number 216
_symmetry_space_group_name_Hall 'F -4 2 3'
loop_
_atom_site_label
_atom_site_type_symbol
_atom_site_fract_x
_atom_site_fract_y
_atom_site_fract_z
_atom_site_occupancy
Er1 Er 0.000 0.000 0.000 1
Nb1 Nb 0.250 0.250 0.750 1
Ag1 Ag 0.000 0.000 0.500 1
```